No. 1
First-principles (GGA-PBEsol) data for NaSeN2O after structural relaxation, as listed in Alexandria.

Space-group type: P4/mmm (123)
DFT total energy, eV/atom: -3.33
Formation energy from raw total energies, eV/atom: 2.180

Lattice parameters (Å, degrees): 4.216 4.216 4.009 90.00 90.00 90.00
Positions (direct):
Na (0.000, 0.000, 0.000)
Se (0.500, 0.500, 0.500)
N (0.000, 0.500, 0.000)
N (0.500, 0.000, 0.000)
O (0.000, 0.000, 0.500)


No. 2
First-principles (GGA-PBEsol) data for NaSrNO2 after structural relaxation, as listed in Alexandria.

Space-group type: P4/mmm (123)
DFT total energy, eV/atom: -4.56
Formation energy from raw total energies, eV/atom: -0.102

Lattice parameters (Å, degrees): 4.211 4.211 4.172 90.00 90.00 90.00
Positions (direct):
Na (0.000, 0.000, 0.000)
Sr (0.500, 0.500, 0.500)
N (0.000, 0.000, 0.500)
O (0.000, 0.500, 0.000)
O (0.500, 0.000, 0.000)


No. 3
First-principles (GGA-PBEsol) data for NaTlNO2 after structural relaxation, as listed in Alexandria.

Space-group type: P4/mmm (123)
DFT total energy, eV/atom: -3.67
Formation energy from raw total energies, eV/atom: 0.941

Lattice parameters (Å, degrees): 4.291 4.291 4.376 90.00 90.00 90.00
Positions (direct):
Na (0.000, 0.000, 0.000)
Tl (0.500, 0.500, 0.500)
N (0.000, 0.000, 0.500)
O (0.000, 0.500, 0.000)
O (0.500, 0.000, 0.000)


No. 4
First-principles (GGA-PBEsol) data for Na6OsN4 after structural relaxation, as listed in Alexandria.

Space-group type: P4_2/nmc (137)
DFT total energy, eV/atom: -4.97
Formation energy from raw total energies, eV/atom: 0.006

Lattice parameters (Å, degrees): 7.569 7.569 5.983 90.00 90.00 90.00
Positions (direct):
Na (0.043, 0.543, 0.250)
Na (0.043, 0.957, 0.250)
Na (0.250, 0.250, 0.057)
Na (0.250, 0.250, 0.557)
Na (0.457, 0.543, 0.250)
Na (0.457, 0.957, 0.250)
Na (0.543, 0.043, 0.750)
Na (0.543, 0.457, 0.750)
Na (0.750, 0.750, 0.443)
Na (0.750, 0.750, 0.943)
Na (0.957, 0.043, 0.750)
Na (0.957, 0.457, 0.750)
Os (0.250, 0.750, 0.750)
Os (0.750, 0.250, 0.250)
N (0.044, 0.750, 0.584)
N (0.250, 0.544, 0.916)
N (0.250, 0.956, 0.916)
N (0.456, 0.750, 0.584)
N (0.544, 0.250, 0.416)
N (0.750, 0.044, 0.084)
N (0.750, 0.456, 0.084)
N (0.956, 0.250, 0.416)


No. 5
First-principles (GGA-PBEsol) data for Na3OsN after structural relaxation, as listed in Alexandria.

Space-group type: Pm-3m (221)
DFT total energy, eV/atom: -3.52
Formation energy from raw total energies, eV/atom: 1.464

Lattice parameters (Å, degrees): 4.626 4.626 4.626 90.00 90.00 90.00
Positions (direct):
Na (0.000, 0.000, 0.500)
Na (0.000, 0.500, 0.000)
Na (0.500, 0.000, 0.000)
Os (0.500, 0.500, 0.500)
N (0.000, 0.000, 0.000)


No. 6
First-principles (GGA-PBEsol) data for RbNaOsN2 after structural relaxation, as listed in Alexandria.

Space-group type: P4/mmm (123)
DFT total energy, eV/atom: -3.08
Formation energy from raw total energies, eV/atom: 3.254

Lattice parameters (Å, degrees): 4.567 4.567 4.656 90.00 90.00 90.00
Positions (direct):
Rb (0.000, 0.000, 0.000)
Na (0.000, 0.000, 0.500)
Os (0.500, 0.500, 0.500)
N (0.000, 0.500, 0.000)
N (0.500, 0.000, 0.000)